The following is a PBE-GGA calculation of a geometry-optimized HoHN structure, from Alexandria via LeMat-Bulk.

```
HoHN
1.0
2.3926 -2.3938 0.0000
2.3926 2.3938 0.0000
-0.6229 0.0000 7.7715
Ho H N
2 2 2
Direct
0.2306 0.2306 0.3489
0.7694 0.7694 0.6511
0.0594 0.0594 0.9696
0.9406 0.9406 0.0304
0.2704 0.2704 0.6419
0.7296 0.7296 0.3581
```

Summary:
final energy	-6.38	eV per atom
crystal system	monoclinic